5
Lattice="3.9250 0.0000 0.0000 0.0000 6.6426 0.0000 0.0000 0.0000 6.6426" Properties=species:S:1:pos:R:3 comment="K2NbReN, optimized geometry, DFT GGA-PBEsol" sg="No. 123" magmom_total_mub_per_atom=1.364 vol_a3_per_atom=34.6 formation_energy_uncorrected_ev_per_atom=1.909 n_ef_per_ev_atom=1.2132 pbc="T T T"
K 0.0000 0.0000 3.3213
K 0.0000 3.3213 0.0000
Nb 0.0000 0.0000 0.0000
Re 1.9625 3.3213 3.3213
N 1.9625 0.0000 0.0000